[1]
Below is a relaxed FeIr3I crystal, with properties calculated at the GGA-PBE level.

Computed properties:
Offset from the most stable computed form: 0 meV/atom
Magnetic moment: 0.000 μB/cell
Crystal system: cubic
Uncorrected energy: -5.7083 eV/atom
Formation energy from raw total energies: 1611 meV per atom

POSCAR file:
```
FeIr3I
1.0
-0.592 2.927 -3.435
-4.252 0.800 1.414
1.513 3.393 2.630
I Ir Fe
1 3 1
Direct
0.500 0.500 0.500
0.000 0.500 0.000
0.000 0.000 0.500
0.500 0.000 0.000
0.000 0.000 0.000
```


[2]
Below is a relaxed FeIrI3 crystal, with properties calculated at the GGA-PBE level.

Computed properties:
Offset from the most stable computed form: 0 meV/atom
Magnetic moment: 3.779 μB/cell
Crystal system: cubic
Uncorrected energy: -3.4857 eV/atom
Formation energy from raw total energies: 909 meV per atom

POSCAR file:
```
FeIrI3
1.0
5.416 0.000 0.000
0.000 5.416 0.000
0.000 0.000 5.416
I Ir Fe
3 1 1
Direct
0.000 0.500 0.000
0.000 0.000 0.500
0.500 0.000 0.000
0.000 0.000 0.000
0.500 0.500 0.500
```


[3]
Below is a relaxed Fe2IrI crystal, with properties calculated at the GGA-PBE level.

Computed properties:
Offset from the most stable computed form: 0 meV/atom
Magnetic moment: 4.662 μB/cell
Crystal system: cubic
Uncorrected energy: -5.9919 eV/atom
Formation energy from raw total energies: 842 meV per atom

POSCAR file:
```
Fe2IrI
1.0
4.064 1.152 1.277
0.551 3.214 2.974
1.394 -0.977 4.072
I Ir Fe
1 1 2
Direct
0.000 0.000 0.000
0.500 0.500 0.500
0.250 0.250 0.250
0.750 0.750 0.750
```


[4]
Below is a relaxed K2FeIrI crystal, with properties calculated at the GGA-PBE level.

Computed properties:
Magnetic moment: 3.293 μB/cell
Crystal system: tetragonal
Uncorrected energy: -3.8140 eV/atom
Formation energy from raw total energies: 400 meV per atom

POSCAR file:
```
K2FeIrI
1.0
6.473 0.000 0.000
0.000 4.397 0.000
0.000 0.000 6.473
I K Ir Fe
1 2 1 1
Direct
0.500 0.500 0.500
0.000 0.000 0.500
0.500 0.000 0.000
0.000 0.500 0.000
0.000 0.000 0.000
```


[5]
Below is a relaxed La6FeIr2I3 crystal, with properties calculated at the GGA-PBE level.

Computed properties:
Magnetic moment: 0.000 μB/cell
Crystal system: monoclinic
Uncorrected energy: -5.9219 eV/atom
Formation energy from raw total energies: -889 meV per atom

POSCAR file:
```
La6FeIr2I3
1.0
-3.953 4.028 4.623
2.635 -6.462 2.127
7.310 4.491 0.422
La Fe Ir I
6 1 2 3
Direct
0.939 0.617 0.817
0.739 0.739 0.183
0.061 0.383 0.183
0.617 0.939 0.817
0.261 0.261 0.817
0.383 0.061 0.183
0.000 0.000 0.000
0.333 0.667 0.000
0.667 0.333 0.000
0.167 0.833 0.500
0.833 0.167 0.500
0.500 0.500 0.500
```


[6]
Below is a relaxed LaFeIr2I crystal, with properties calculated at the GGA-PBE level.

Computed properties:
Magnetic moment: 2.229 μB/cell
Crystal system: tetragonal
Uncorrected energy: -5.6912 eV/atom
Formation energy from raw total energies: 841 meV per atom

POSCAR file:
```
LaFeIr2I
1.0
-4.172 -0.627 2.687
1.639 -4.030 1.604
2.119 2.393 3.847
I Ir Fe La
1 2 1 1
Direct
0.000 0.000 0.000
0.000 0.000 0.500
0.500 0.000 0.000
0.000 0.500 0.000
0.500 0.500 0.500
```


[7]
Below is a relaxed La8FeIr3I4 crystal, with properties calculated at the GGA-PBE level.

Computed properties:
Magnetic moment: 0.000 μB/cell
Crystal system: trigonal
Uncorrected energy: -5.9865 eV/atom
Formation energy from raw total energies: -945 meV per atom

POSCAR file:
```
La8FeIr3I4
1.0
-8.122 2.284 0.579
-2.518 -9.194 0.936
5.621 2.914 5.603
La Fe Ir I
8 1 3 4
Direct
0.222 0.683 0.961
0.223 0.684 0.446
0.272 0.316 0.545
0.738 0.683 0.961
0.262 0.317 0.039
0.728 0.684 0.455
0.777 0.316 0.554
0.778 0.317 0.039
0.000 0.500 0.000
0.500 0.500 0.000
0.500 0.500 0.500
0.000 0.500 0.500
0.500 0.000 0.000
0.500 0.000 0.500
0.000 0.000 0.000
0.000 0.000 0.500
```


[8]
Below is a relaxed FeMoIr2I crystal, with properties calculated at the GGA-PBE level.

Computed properties:
Magnetic moment: 3.327 μB/cell
Crystal system: tetragonal
Uncorrected energy: -5.9577 eV/atom
Formation energy from raw total energies: 1755 meV per atom

POSCAR file:
```
FeMoIr2I
1.0
-1.310 -0.026 4.571
2.959 -4.269 0.823
3.706 2.777 1.078
I Mo Ir Fe
1 1 2 1
Direct
0.000 0.500 0.000
0.000 0.000 0.000
0.000 0.000 0.500
0.500 0.000 0.000
0.500 0.500 0.500
```